# 1
Computed, not measured: an optimized crystal structure of LiInBr2 at the GGA-PBE level of DFT.

```
LiInBr2
1.0
-2.1213 3.0436 5.4768
4.1070 -3.8315 3.7200
8.2219 7.7327 -1.1126
Br Li In
8 4 4
direct
0.4389 0.0706 0.1635
0.3867 0.5257 0.9118
0.9389 0.9294 0.8365
0.8867 0.9743 0.4118
0.9389 0.4294 0.6635
0.4389 0.5706 0.3365
0.3867 0.0257 0.5882
0.8867 0.4743 0.0882
0.0048 0.0608 0.6244
0.0048 0.5608 0.8756
0.5048 0.4392 0.1244
0.5048 0.9392 0.3756
0.9427 0.0033 0.1252
0.9427 0.5033 0.3748
0.4427 0.9967 0.8748
0.4427 0.4967 0.6252
```

Computed properties:
The space group is No. 33. The value obtained for the calculated density is 3.700 g cm⁻³. As for the offset from the most stable computed form: 0.000 eV/atom. The calculation puts the volume at 31.59 Å³ per atom. The value obtained for the uncorrected formation energy is -1.0653 eV per atom.

=====

# 2
Computed, not measured: an optimized crystal structure of KSrEu at the GGA-PBE level of DFT.

```
KSrEu
1.0
4.1105 0.0000 0.0000
0.0000 4.1105 0.0000
-2.0552 -2.0552 9.9180
Eu K Sr
1 1 1
direct
0.6738 0.6738 0.3477
0.0022 0.0022 0.0043
0.3240 0.3240 0.6480
```

Computed properties:
The space group is No. 107. The value obtained for the calculated density is 2.762 g cm⁻³. As for the offset from the most stable computed form: 0.025 eV/atom. The energy of formation from the pure elements is 0.1238 eV per atom. The calculation puts the volume at 55.86 Å³ per atom.

=====

# 3
Computed, not measured: an optimized crystal structure of AcLa3Tl4 at the GGA-PBE level of DFT.

```
AcLa3Tl4
1.0
-0.1808 1.3568 -5.5518
-5.3862 -5.7500 -1.2299
-8.4259 7.4449 2.0939
Tl Ac La
8 2 6
direct
0.5000 0.7565 0.0000
0.5000 0.2435 0.0000
0.0055 0.7565 0.7500
0.0055 0.2435 0.7500
0.9945 0.7565 0.2500
0.9945 0.2435 0.2500
0.5000 0.2435 0.5000
0.5000 0.7565 0.5000
0.0000 0.5000 0.0000
0.0000 0.5000 0.5000
0.0000 0.0000 0.5000
0.0000 0.0000 0.0000
0.5039 0.5000 0.7500
0.4954 0.0000 0.2500
0.5046 0.0000 0.7500
0.4961 0.5000 0.2500
```

Computed properties:
The space group is No. 51. The value obtained for the calculated density is 9.306 g cm⁻³. The energy of formation from the pure elements is -0.4016 eV per atom. The calculation puts the volume at 32.59 Å³ per atom.

=====

# 4
Computed, not measured: an optimized crystal structure of YRePAu2 at the GGA-PBE level of DFT.

```
YRePAu2
1.0
5.2642 0.0000 0.0000
0.0000 5.3732 0.0000
0.0000 0.0000 5.2642
Y Au Re P
1 2 1 1
direct
0.0000 0.0000 0.0000
0.5000 0.0000 0.0000
0.0000 0.0000 0.5000
0.0000 0.5000 0.0000
0.5000 0.5000 0.5000
```

Computed properties:
The space group is No. 123. The value obtained for the calculated density is 7.807 g cm⁻³. The energy of formation from the pure elements is 1.9309 eV per atom. The calculation puts the volume at 29.78 Å³ per atom.

=====

# 5
Computed, not measured: an optimized crystal structure of TeAsOsI2 at the GGA-PBE level of DFT.

```
TeAsOsI2
1.0
5.3974 0.0000 0.0000
0.0000 5.3974 0.0000
0.0000 0.0000 5.0971
I Te As Os
2 1 1 1
direct
0.0000 0.5000 0.0000
0.5000 0.0000 0.0000
0.0000 0.0000 0.5000
0.5000 0.5000 0.5000
0.0000 0.0000 0.0000
```

Computed properties:
The space group is No. 123. The value obtained for the calculated density is 7.230 g cm⁻³. As for the offset from the most stable computed form: 0.000 eV/atom. The calculation puts the volume at 29.70 Å³ per atom. The value obtained for the uncorrected formation energy is 0.9269 eV per atom.

=====

# 6
Computed, not measured: an optimized crystal structure of TeWSCl2 at the GGA-PBE level of DFT.

```
TeWSCl2
1.0
-3.6212 3.5868 -0.8171
-3.0156 -3.5509 -2.2232
-2.1961 -1.1281 4.7806
W Te S Cl
1 1 1 2
direct
0.5000 0.5000 0.5000
0.0000 0.0000 0.0000
0.0000 0.0000 0.5000
0.5000 0.0000 0.0000
0.0000 0.5000 0.0000
```

Computed properties:
The space group is No. 123. The value obtained for the calculated density is 4.800 g cm⁻³. As for the offset from the most stable computed form: 1.006 eV/atom. The calculation puts the volume at 28.67 Å³ per atom. The value obtained for the uncorrected formation energy is 1.2636 eV per atom.